Material: La2NiGe
Method: DFT, PBE-GGA
State: relaxed

Lattice parameters (Å, degrees): 6.116 4.347 8.224 90.00 110.26 90.00
Positions (direct):
La (0.225, 0.250, 0.409)
La (0.234, 0.250, 0.952)
La (0.766, 0.750, 0.048)
La (0.775, 0.750, 0.591)
Ni (0.438, 0.750, 0.230)
Ni (0.562, 0.250, 0.770)
Ge (0.331, 0.750, 0.704)
Ge (0.669, 0.250, 0.296)

Calculated values
The symmetry is P2_1/m, No. 11.

***

Material: Ba2Ta15O32
Method: DFT, PBE-GGA
State: relaxed

Lattice parameters (Å, degrees): 7.866 7.866 12.842 72.17 72.17 60.00
Positions (direct):
Ba (0.000, 0.000, 0.000)
Ba (0.280, 0.280, 0.159)
Ta (0.084, 0.323, 0.676)
Ta (0.111, 0.567, 0.876)
Ta (0.168, 0.714, 0.283)
Ta (0.196, 0.957, 0.483)
Ta (0.323, 0.916, 0.676)
Ta (0.364, 0.196, 0.483)
Ta (0.445, 0.112, 0.876)
Ta (0.501, 0.502, 0.496)
Ta (0.567, 0.446, 0.876)
Ta (0.640, 0.641, 0.080)
Ta (0.713, 0.835, 0.283)
Ta (0.779, 0.779, 0.663)
Ta (0.834, 0.169, 0.283)
Ta (0.916, 0.085, 0.676)
Ta (0.957, 0.365, 0.483)
O (0.003, 0.179, 0.375)
O (0.101, 0.837, 0.784)
O (0.107, 0.993, 0.202)
O (0.172, 0.288, 0.957)
O (0.178, 0.444, 0.375)
O (0.277, 0.102, 0.784)
O (0.288, 0.582, 0.957)
O (0.299, 0.712, 0.393)
O (0.307, 0.401, 0.580)
O (0.401, 0.712, 0.580)
O (0.402, 0.403, 0.792)
O (0.402, 0.602, 0.175)
O (0.443, 0.003, 0.375)
O (0.459, 0.878, 0.984)
O (0.568, 0.684, 0.766)
O (0.568, 0.974, 0.579)
O (0.582, 0.173, 0.957)
O (0.596, 0.299, 0.393)
O (0.601, 0.822, 0.175)
O (0.679, 0.460, 0.984)
O (0.684, 0.981, 0.766)
O (0.698, 0.108, 0.202)
O (0.711, 0.597, 0.393)
O (0.712, 0.307, 0.580)
O (0.820, 0.404, 0.175)
O (0.837, 0.278, 0.784)
O (0.877, 0.680, 0.984)
O (0.877, 0.878, 0.367)
O (0.879, 0.569, 0.579)
O (0.973, 0.880, 0.579)
O (0.981, 0.569, 0.766)
O (0.992, 0.699, 0.202)

Calculated values
The symmetry is P1, No. 1.

***

Material: CePrRuN3
Method: DFT, PBE-GGA
State: relaxed

Lattice parameters (Å, degrees): 7.490 3.428 7.650 90.00 98.13 90.00
Positions (direct):
Ce (0.141, 0.250, 0.172)
Ce (0.859, 0.750, 0.828)
Pr (0.335, 0.750, 0.815)
Pr (0.665, 0.250, 0.185)
Ru (0.399, 0.750, 0.417)
Ru (0.601, 0.250, 0.583)
N (0.087, 0.250, 0.872)
N (0.319, 0.250, 0.540)
N (0.379, 0.750, 0.146)
N (0.621, 0.250, 0.854)
N (0.681, 0.750, 0.460)
N (0.913, 0.750, 0.128)

Calculated values
The symmetry is P2_1/m, No. 11.

***

Material: MgGa2Ag8
Method: DFT, PBE-GGA
State: relaxed

Lattice parameters (Å, degrees): 7.731 7.731 6.525 105.63 105.63 31.18
Positions (direct):
Mg (0.000, 0.000, 0.000)
Ga (0.276, 0.276, 0.356)
Ga (0.724, 0.724, 0.644)
Ag (0.094, 0.094, 0.460)
Ag (0.182, 0.182, 0.920)
Ag (0.359, 0.359, 0.802)
Ag (0.454, 0.454, 0.268)
Ag (0.546, 0.546, 0.732)
Ag (0.641, 0.641, 0.198)
Ag (0.818, 0.818, 0.080)
Ag (0.906, 0.906, 0.540)

Calculated values
The symmetry is C2/m, No. 12.

***

Material: NaAcAs2O8
Method: DFT, PBE-GGA
State: relaxed

Lattice parameters (Å, degrees): 6.335 6.335 6.335 106.84 106.84 114.87
Positions (direct):
Na (0.000, 0.000, 0.000)
Ac (0.250, 0.750, 0.500)
As (0.500, 0.500, 0.000)
As (0.750, 0.250, 0.500)
O (0.346, 0.166, 0.821)
O (0.346, 0.525, 0.179)
O (0.414, 0.093, 0.321)
O (0.475, 0.654, 0.821)
O (0.772, 0.093, 0.679)
O (0.834, 0.654, 0.179)
O (0.907, 0.228, 0.321)
O (0.907, 0.586, 0.679)

Calculated values
The symmetry is I-4m2, No. 119.

***

Material: ThGa5Pd7
Method: DFT, PBE-GGA
State: relaxed

Lattice parameters (Å, degrees): 6.879 6.879 6.879 134.06 97.07 100.46
Positions (direct):
Th (0.000, 0.000, 0.000)
Ga (0.482, 0.494, 0.496)
Ga (0.482, 0.985, 0.987)
Ga (0.765, 0.265, 0.500)
Ga (0.998, 0.494, 0.013)
Ga (0.998, 0.985, 0.504)
Pd (0.191, 0.482, 0.709)
Pd (0.217, 0.717, 0.500)
Pd (0.337, 0.337, 0.000)
Pd (0.340, 0.001, 0.339)
Pd (0.662, 0.001, 0.661)
Pd (0.666, 0.666, 0.000)
Pd (0.773, 0.482, 0.291)

Calculated values
The symmetry is Imm2, No. 44.

***

Material: RbYPb
Method: DFT, PBE-GGA
State: relaxed

Lattice parameters (Å, degrees): 9.164 9.164 9.164 144.19 144.19 51.55
Positions (direct):
Rb (0.000, 0.500, 0.500)
Rb (0.500, 0.000, 0.500)
Y (0.250, 0.750, 0.500)
Y (0.750, 0.250, 0.500)
Pb (0.165, 0.165, 0.000)
Pb (0.835, 0.835, 0.000)

Calculated values
The symmetry is I4/mmm, No. 139.

***

Material: Nd3Ga2Ni9Ge
Method: DFT, PBE-GGA
State: relaxed

Lattice parameters (Å, degrees): 6.076 6.076 8.354 90.00 90.00 120.00
Positions (direct):
Nd (0.000, 0.000, 0.000)
Nd (0.333, 0.667, 0.677)
Nd (0.667, 0.333, 0.323)
Ga (0.333, 0.667, 0.189)
Ga (0.667, 0.333, 0.811)
Ni (0.000, 0.500, 0.000)
Ni (0.134, 0.268, 0.283)
Ni (0.134, 0.866, 0.283)
Ni (0.268, 0.134, 0.717)
Ni (0.500, 0.000, 0.000)
Ni (0.500, 0.500, 0.000)
Ni (0.732, 0.866, 0.283)
Ni (0.866, 0.134, 0.717)
Ni (0.866, 0.732, 0.717)
Ge (0.000, 0.000, 0.500)

Calculated values
The symmetry is P-3m1, No. 164.

***

Across the entries above, DFT total energy takes the values -45.2 -475.3 -99.4 -31.2 -73.4 -67.2 -23.4 -79.2 eV/cell, respectively.
Across the entries above, density takes the values 6.62 9.03 7.25 8.79 4.51 10.23 4.83 7.29 g/cm³, respectively.